No. 1
Here is crystalline KZrHg2 at its relaxed geometry from Alexandria via LeMat-Bulk. Energies are from GGA-PBE.

The value obtained for the calculated total energy is -2.48 eV per atom. The energy relative to the lowest polymorph listed for this composition is 122 meV per atom. The formation energy is 0.078 eV/atom.

CIF file:
```
data_KZrHg2
_chemical_formula_sum 'K3 Zr3 Hg6'
_symmetry_space_group_name_H-M 'R -3 m'
_symmetry_Int_Tables_number 166
_symmetry_space_group_name_Hall '-R 3 2"'
_cell_length_a 3.5993
_cell_length_b 3.5993
_cell_length_c 30.0915
_cell_angle_alpha 90.00
_cell_angle_beta 90.00
_cell_angle_gamma 120.00
loop_
_atom_site_label
_atom_site_type_symbol
_atom_site_fract_x
_atom_site_fract_y
_atom_site_fract_z
_atom_site_occupancy
K1 K 0.0000 0.0000 0.0000 1
Zr1 Zr 0.0000 0.0000 0.5000 1
Hg1 Hg 0.0000 0.0000 0.2380 1
```



No. 2
Here is crystalline HgSbTe2As at its relaxed geometry from Alexandria via LeMat-Bulk. Energies are from GGA-PBE.

The value obtained for the calculated total energy is -2.10 eV per atom. The energy relative to the lowest polymorph listed for this composition is 484 meV per atom.

CIF file:
```
data_HgSbTe2As
_chemical_formula_sum 'Hg1 Sb1 Te2 As1'
_symmetry_space_group_name_H-M 'P 4/m m m'
_symmetry_Int_Tables_number 123
_symmetry_space_group_name_Hall '-P 4 2'
_cell_length_a 5.533
_cell_length_b 5.533
_cell_length_c 5.552
_cell_angle_alpha 90.00
_cell_angle_beta 90.00
_cell_angle_gamma 90.00
loop_
_atom_site_label
_atom_site_type_symbol
_atom_site_fract_x
_atom_site_fract_y
_atom_site_fract_z
_atom_site_occupancy
Hg1 Hg 0.000 0.000 0.000 1
Sb1 Sb 0.000 0.000 0.500 1
Te1 Te 0.000 0.500 0.000 1
As1 As 0.500 0.500 0.500 1
```



No. 3
Here is crystalline Ba3PmSm3Se8 at its relaxed geometry from Alexandria via LeMat-Bulk. Energies are from GGA-PBE.

The value obtained for the calculated total energy is -5.44 eV per atom.

CIF file:
```
data_Ba3PmSm3Se8
_chemical_formula_sum 'Ba9 Pm3 Sm9 Se24'
_symmetry_space_group_name_H-M 'R -3 m'
_symmetry_Int_Tables_number 166
_symmetry_space_group_name_Hall '-R 3 2"'
_cell_length_a 8.5908
_cell_length_b 8.5908
_cell_length_c 22.6416
_cell_angle_alpha 90.00
_cell_angle_beta 90.00
_cell_angle_gamma 120.00
loop_
_atom_site_label
_atom_site_type_symbol
_atom_site_fract_x
_atom_site_fract_y
_atom_site_fract_z
_atom_site_occupancy
Ba1 Ba 0.0000 0.5000 0.0000 1
Pm1 Pm 0.0000 0.0000 0.5000 1
Sm1 Sm 0.0000 0.5000 0.5000 1
Se1 Se 0.0000 0.0000 0.2398 1
Se2 Se 0.0020 0.5010 0.7610 1
```



No. 4
Here is crystalline PuAg2O4 at its relaxed geometry from Alexandria via LeMat-Bulk. Energies are from GGA-PBE.

The value obtained for the calculated total energy is -7.13 eV per atom.

CIF file:
```
data_PuAg2O4
_chemical_formula_sum 'Pu2 Ag4 O8'
_symmetry_space_group_name_H-M 'C m m m'
_symmetry_Int_Tables_number 65
_symmetry_space_group_name_Hall '-C 2 2'
_cell_length_a 7.100
_cell_length_b 10.372
_cell_length_c 3.621
_cell_angle_alpha 90.00
_cell_angle_beta 90.00
_cell_angle_gamma 90.00
loop_
_atom_site_label
_atom_site_type_symbol
_atom_site_fract_x
_atom_site_fract_y
_atom_site_fract_z
_atom_site_occupancy
Pu1 Pu 0.000 0.000 0.000 1
Ag1 Ag 0.250 0.250 0.500 1
O1 O 0.000 0.137 0.500 1
O2 O 0.245 0.500 0.000 1
```



No. 5
Here is crystalline Pr5Ho4Er at its relaxed geometry from Alexandria via LeMat-Bulk. Energies are from GGA-PBE.

The value obtained for the calculated total energy is -4.66 eV per atom. The energy relative to the lowest polymorph listed for this composition is 2 meV per atom. The formation energy is 0.020 eV/atom.

CIF file:
```
data_Pr5Ho4Er
_chemical_formula_sum 'Pr10 Ho8 Er2'
_symmetry_space_group_name_H-M 'C 1 2/m 1'
_symmetry_Int_Tables_number 12
_symmetry_space_group_name_Hall '-C 2y'
_cell_length_a 18.755
_cell_length_b 3.621
_cell_length_c 10.246
_cell_angle_alpha 90.00
_cell_angle_beta 106.08
_cell_angle_gamma 90.00
loop_
_atom_site_label
_atom_site_type_symbol
_atom_site_fract_x
_atom_site_fract_y
_atom_site_fract_z
_atom_site_occupancy
Pr1 Pr 0.000 0.000 0.000 1
Pr2 Pr 0.100 0.500 0.306 1
Pr3 Pr 0.200 0.000 0.101 1
Ho1 Ho 0.101 0.500 0.794 1
Ho2 Ho 0.199 0.000 0.600 1
Er1 Er 0.000 0.000 0.500 1
```



No. 6
Here is crystalline K2TlPSe4 at its relaxed geometry from Alexandria via LeMat-Bulk. Energies are from GGA-PBE.

The value obtained for the calculated total energy is -3.55 eV per atom.

CIF file:
```
data_K2TlPSe4
_chemical_formula_sum 'K4 Tl2 P2 Se8'
_symmetry_space_group_name_H-M 'P 1'
_symmetry_Int_Tables_number 1
_symmetry_space_group_name_Hall 'P 1'
_cell_length_a 8.245
_cell_length_b 8.849
_cell_length_c 9.507
_cell_angle_alpha 65.30
_cell_angle_beta 67.41
_cell_angle_gamma 67.68
loop_
_atom_site_label
_atom_site_type_symbol
_atom_site_fract_x
_atom_site_fract_y
_atom_site_fract_z
_atom_site_occupancy
K1 K 0.000 0.000 0.000 1
K2 K 0.006 0.002 0.477 1
K3 K 0.313 0.480 0.866 1
K4 K 0.600 0.868 0.882 1
Tl1 Tl 0.049 0.550 0.385 1
Tl2 Tl 0.599 0.508 0.298 1
P1 P 0.457 0.075 0.448 1
P2 P 0.746 0.472 0.853 1
Se1 Se 0.256 0.269 0.294 1
Se2 Se 0.295 0.751 0.223 1
Se3 Se 0.313 0.911 0.681 1
Se4 Se 0.522 0.231 0.557 1
Se5 Se 0.741 0.269 0.774 1
Se6 Se 0.746 0.736 0.290 1
Se7 Se 0.872 0.364 0.070 1
Se8 Se 0.995 0.578 0.676 1
```



No. 7
Here is crystalline MnAs2W at its relaxed geometry from Alexandria via LeMat-Bulk. Energies are from GGA-PBE.

The value obtained for the calculated total energy is -7.46 eV per atom. The energy relative to the lowest polymorph listed for this composition is 388 meV per atom. The formation energy is 0.399 eV/atom.

CIF file:
```
data_MnAs2W
_chemical_formula_sum 'Mn2 As4 W2'
_symmetry_space_group_name_H-M 'I -4 m 2'
_symmetry_Int_Tables_number 119
_symmetry_space_group_name_Hall 'I -4 -2'
_cell_length_a 3.901
_cell_length_b 3.901
_cell_length_c 8.145
_cell_angle_alpha 90.00
_cell_angle_beta 90.00
_cell_angle_gamma 90.00
loop_
_atom_site_label
_atom_site_type_symbol
_atom_site_fract_x
_atom_site_fract_y
_atom_site_fract_z
_atom_site_occupancy
Mn1 Mn 0.000 0.000 0.000 1
As1 As 0.000 0.000 0.500 1
As2 As 0.000 0.500 0.250 1
W1 W 0.000 0.500 0.750 1
```



No. 8
Here is crystalline Er7NiI12 at its relaxed geometry from Alexandria via LeMat-Bulk. Energies are from GGA-PBE.

The value obtained for the calculated total energy is -3.99 eV per atom.

CIF file:
```
data_Er7NiI12
_chemical_formula_sum 'Er21 Ni3 I36'
_symmetry_space_group_name_H-M 'R -3'
_symmetry_Int_Tables_number 148
_symmetry_space_group_name_Hall '-R 3'
_cell_length_a 15.5523
_cell_length_b 15.5523
_cell_length_c 10.6184
_cell_angle_alpha 90.00
_cell_angle_beta 90.00
_cell_angle_gamma 120.00
loop_
_atom_site_label
_atom_site_type_symbol
_atom_site_fract_x
_atom_site_fract_y
_atom_site_fract_z
_atom_site_occupancy
Er1 Er 0.0000 0.0000 0.0000 1
Er2 Er 0.0422 0.1534 0.3599 1
Ni1 Ni 0.0000 0.0000 0.5000 1
I1 I 0.0197 0.5847 0.1587 1
I2 I 0.0512 0.1809 0.8389 1
```